1.
10
Lattice="3.5615 0.0000 0.0000 0.0000 3.5615 0.0000 0.0000 0.0000 17.7263" Properties=species:S:1:pos:R:3 comment="CdNi2Bi2 | Alexandria via LeMat-Bulk | PBE | relaxed" total_energy_ev_per_atom=-3.926 dos_ef_per_ev_atom=0.7735 ef_kj_per_mol_atoms=11.81 de_polymorph_kcal_per_mol_atoms=0.27 pbc="T T T"
Cd 0.0000 0.0000 0.0000
Cd 1.7808 1.7808 8.8632
Ni 0.0000 1.7808 4.4316
Ni 0.0000 1.7808 13.2948
Ni 1.7808 0.0000 4.4316
Ni 1.7808 0.0000 13.2948
Bi 0.0000 0.0000 6.4462
Bi 0.0000 0.0000 11.2801
Bi 1.7808 1.7808 2.4169
Bi 1.7808 1.7808 15.3094

---

2.
12
Lattice="2.9329 1.6933 9.4427 -2.9329 1.6933 9.4427 0.0000 -3.3866 9.4427" Properties=species:S:1:pos:R:3 comment="Ac3Al8Ag | Alexandria via LeMat-Bulk | PBE | relaxed" total_energy_ev_per_atom=-3.987 dos_ef_per_ev_atom=0.5645 ef_kj_per_mol_atoms=-21.91 pbc="T T T"
Ac 0.0000 0.0000 0.0000
Ac 0.0000 0.0000 3.6642
Ac 0.0000 0.0000 17.4615
Al -1.4967 -0.8641 11.2298
Al 0.0000 -1.7020 6.5139
Al -1.4740 0.8510 6.5139
Al 0.0000 0.0000 8.8656
Al 1.4740 0.8510 6.5139
Al 1.4967 -0.8641 11.2298
Al 0.0000 1.7283 11.2298
Al 0.0000 0.0000 23.0686
Ag 0.0000 0.0000 13.5028

---

3.
10
Lattice="7.0597 -2.1854 0.0000 7.0597 2.1854 0.0000 -1.6337 0.0000 10.3002" Properties=species:S:1:pos:R:3 comment="CsZnInAs2 | Alexandria via LeMat-Bulk | PBE | relaxed" total_energy_ev_per_atom=-3.195 dos_ef_per_ev_atom=0.0018 ef_kj_per_mol_atoms=-34.94 pbc="T T T"
Cs 1.9538 0.0000 1.6983
Cs 10.5319 0.0000 8.6019
Zn 1.5145 0.0000 5.9062
Zn 10.9713 0.0000 4.3940
In 5.9142 0.0000 3.3259
In 6.5715 0.0000 6.9743
As 0.4289 0.0000 8.2406
As 4.2001 0.0000 5.7063
As 8.2856 0.0000 4.5939
As 12.0568 0.0000 2.0596

---

4.
10
Lattice="7.8904 0.0000 0.0000 0.0000 7.8904 0.0000 0.0000 0.0000 3.3373" Properties=species:S:1:pos:R:3 comment="SnAs2Au2 | Alexandria via LeMat-Bulk | PBE | relaxed" total_energy_ev_per_atom=-3.785 dos_ef_per_ev_atom=0.6541 ef_kj_per_mol_atoms=18.02 de_polymorph_kcal_per_mol_atoms=1.54 pbc="T T T"
Sn 0.0000 0.0000 0.0000
Sn 3.9452 3.9452 0.0000
As 1.3155 2.6297 1.6686
As 2.6297 6.5749 1.6686
As 5.2607 1.3155 1.6686
As 6.5749 5.2607 1.6686
Au 1.0695 5.0147 0.0000
Au 2.8757 1.0695 0.0000
Au 5.0147 6.8209 0.0000
Au 6.8209 2.8757 0.0000